## ZnCuNiMo (PBE-GGA)

Data for ZnCuNiMo after structural relaxation.

- E_tot (eV/f.u.) = -21.422
- total moment (μB/atom) = 0.00
- ΔH_f (0 K) (eV/atom) = 0.140
- crystal system = cubic

Unit cell a=4.2044 b=4.2044 c=4.2044 alpha=60.00 beta=60.00 gamma=60.00
Element x y z (fractional)
Zn (0.0000, 0.0000, 0.0000)
Cu (0.7500, 0.7500, 0.7500)
Ni (0.2500, 0.2500, 0.2500)
Mo (0.5000, 0.5000, 0.5000)